# 1
Compound: Ac8Co3PCl4
Source: the Alexandria database
Functional: GGA-PBE
Structure: optimized geometry

The space group is R-3m (No. 166, hexagonal axes) and the conventional cell measures 8.5987, 8.5987 and 23.5212 Å, with angles of 90.00, 90.00 and 120.00 degrees. Symmetry generates all atoms from Ac at (0.0000, 0.0000, 0.2331), Ac at (0.0129, 0.5065, 0.7659), Co at (0.0000, 0.5000, 0.5000), P at (0.0000, 0.0000, 0.5000), Cl at (0.0000, 0.0000, 0.0000) and Cl at (0.0000, 0.5000, 0.0000).

For the volume, the calculation gives 502.04 Å³/f.u. The energy relative to the elements, uncorrected comes out at -15.74 eV/f.u. Its total energy is -5.170 eV per atom.



# 2
Compound: CeHf2Sc3
Source: the Alexandria database
Functional: GGA-PBE
Structure: optimized geometry

The space group is P2_1/m (No. 11) and the conventional cell measures 5.108, 6.362 and 8.814 Å, with angles of 90.00, 90.36 and 90.00 degrees. Symmetry generates all atoms from Ce at (0.249, 0.250, 0.086), Hf at (0.251, 0.004, 0.737), Sc at (0.248, 0.750, 0.416), Sc at (0.251, 0.250, 0.419) and Sc at (0.252, 0.750, 0.085).

As for the energy of formation from the pure elements: 0.1066 eV per atom. For the volume, the calculation gives 143.22 Å³/f.u. Its total energy is -7.366 eV per atom.